## P
KNiOs2: relaxed, PBE.

Cell and atoms, written as POSCAR:
```
KNiOs2
1.0
5.969 0.005 -0.005
2.940 5.195 0.005
-3.521 -4.200 2.365
Ni K Os
1 1 2
direct
0.211 0.711 0.500
0.491 0.491 0.000
0.004 0.004 0.000
0.794 0.294 0.500
```

Properties
N(E_F)   6.22 states/eV per cell

---

## Q
KNiOs2: relaxed, PBE.

Cell and atoms, written as POSCAR:
```
KNiOs2
1.0
2.669 -0.161 0.000
-1.046 2.461 0.000
0.000 0.000 10.081
K Os Ni
1 2 1
direct
0.500 0.500 0.250
0.000 0.000 0.542
0.000 0.000 0.958
0.500 0.500 0.750
```

Properties
N(E_F)   4.53 states/eV per cell

---

## R
KNiOs2: relaxed, PBE.

Cell and atoms, written as POSCAR:
```
KNiOs2
1.0
-0.266 2.009 5.578
-1.455 -0.348 5.743
3.464 -1.565 2.614
Os K Ni
2 1 1
direct
0.536 0.536 0.462
0.964 0.964 0.038
0.750 0.750 0.750
0.250 0.250 0.250
```

Properties
N(E_F)   4.34 states/eV per cell

---

Which of them is the most stable, and which is the least stable? R and P, in that order.

---

## P
KNi2Os: relaxed, PBE.

Cell and atoms, written as POSCAR:
```
KNi2Os
1.0
0.000 3.178 3.178
3.178 0.000 3.178
3.178 3.178 0.000
K Ni Os
1 2 1
direct
0.000 0.000 0.000
0.750 0.750 0.750
0.250 0.250 0.250
0.500 0.500 0.500
```

Properties
N(E_F)   3.81 states/eV per cell

---

## Q
KNi2Os: relaxed, PBE.

Cell and atoms, written as POSCAR:
```
KNi2Os
1.0
4.305 -0.005 0.008
3.493 2.517 0.008
0.477 0.154 6.841
Ni Os K
2 1 1
direct
0.488 0.488 0.603
0.012 0.012 0.897
0.750 0.750 0.750
0.250 0.250 0.250
```

Properties
N(E_F)   3.45 states/eV per cell

---

## R
KNi2Os: relaxed, PBE.

Cell and atoms, written as POSCAR:
```
KNi2Os
1.0
-1.750 -1.747 -1.335
-1.223 -0.645 2.446
-5.477 6.310 -1.077
Os Ni K
1 2 1
direct
0.500 0.500 0.250
0.000 0.000 0.435
0.000 0.000 0.065
0.500 0.500 0.750
```

Properties
N(E_F)   2.76 states/eV per cell

---

Which of them is the most stable, and which is the least stable? R and P, in that order.